Below is a relaxed KGe2Pt2 crystal, with properties calculated at the PBE level.

Its space-group type is No. 2. The calculation puts the density of states at the Fermi level at 0.3251 states/eV per atom. For the excess energy over the best structure of this formula in the dataset, the calculation gives 0.00 eV/f.u. The calculation puts the calculated formation energy at -502 meV/atom.

```
KGe2Pt2
1.0
6.647 0.000 0.000
-3.128 5.899 0.000
-1.412 -3.106 6.006
K Ge Pt
2 4 4
direct
0.128 0.377 0.251
0.872 0.623 0.749
0.168 0.956 0.419
0.459 0.747 0.919
0.541 0.253 0.081
0.832 0.044 0.581
0.283 0.293 0.791
0.499 0.010 0.291
0.501 0.990 0.709
0.717 0.707 0.209
```

=====

Below is a relaxed K3Ge3Pt5 crystal, with properties calculated at the PBE level.

Its space-group type is No. 189. The calculation puts the density of states at the Fermi level at 0.3930 states/eV per atom. The calculation puts the calculated formation energy at -415 meV/atom.

```
K3Ge3Pt5
1.0
7.509 0.000 0.000
-3.754 6.503 0.000
0.000 0.000 6.046
K Ge Pt
3 3 5
direct
0.000 0.341 0.000
0.341 0.000 0.000
0.659 0.659 0.000
0.000 0.622 0.500
0.378 0.378 0.500
0.622 0.000 0.500
0.000 0.220 0.500
0.220 0.000 0.500
0.333 0.667 0.500
0.667 0.333 0.500
0.780 0.780 0.500
```